# 1
SmErScIn | the Alexandria database | PBE-GGA | relaxed; E_form = -0.255 eV per atom; space-group type = Pmmm, No. 47; DOS(E_F) = 5.7 states/eV per cell; calculated total energy = -4.84 eV/atom; total magnetization = 0.115 μB per atom
1.0
4.7411 0.0000 0.0000
0.0000 4.7622 0.0000
0.0000 0.0000 4.7744
Sm Er Sc In
1 1 1 1
Direct
0.0000 0.0000 0.0000
0.5000 0.0000 0.5000
0.5000 0.5000 0.0000
0.0000 0.5000 0.5000

***

# 2
SmErSc2In4 | the Alexandria database | PBE-GGA | relaxed; E_form = -0.425 eV per atom; space-group type = R-3m, No. 166; DOS(E_F) = 4.6 states/eV per cell; calculated total energy = -4.54 eV/atom; total magnetization = 0.000 μB per atom
1.0
2.5978 1.4998 8.5056
-2.5978 1.4998 8.5056
0.0000 -2.9997 8.5056
Sm Er Sc In
1 1 2 4
Direct
0.0000 0.0000 0.0000
0.5000 0.5000 0.5000
0.2496 0.2496 0.2496
0.7504 0.7504 0.7504
0.1263 0.1263 0.1263
0.3764 0.3764 0.3764
0.6236 0.6236 0.6236
0.8737 0.8737 0.8737

***

# 3
SmErScIn | the Alexandria database | PBE-GGA | relaxed; E_form = -0.157 eV per atom; space-group type = F-43m, No. 216; DOS(E_F) = 5.6 states/eV per cell; calculated total energy = -4.75 eV/atom; total magnetization = 0.247 μB per atom
1.0
0.0000 3.7938 3.7938
3.7938 0.0000 3.7938
3.7938 3.7938 0.0000
Sm Er Sc In
1 1 1 1
Direct
0.0000 0.0000 0.0000
0.5000 0.5000 0.5000
0.2500 0.2500 0.2500
0.7500 0.7500 0.7500

***

# 4
ErScInSn | the Alexandria database | PBE-GGA | relaxed; E_form = -0.442 eV per atom; space-group type = F-43m, No. 216; DOS(E_F) = 2.6 states/eV per cell; calculated total energy = -4.85 eV/atom; total magnetization = 0.000 μB per atom
1.0
0.0000 3.6630 3.6630
3.6630 0.0000 3.6630
3.6630 3.6630 0.0000
Er Sc In Sn
1 1 1 1
Direct
0.0000 0.0000 0.0000
0.5000 0.5000 0.5000
0.7500 0.7500 0.7500
0.2500 0.2500 0.2500

***

# 5
TbErSc2In4 | the Alexandria database | PBE-GGA | relaxed; E_form = -0.424 eV per atom; space-group type = R-3m, No. 166; DOS(E_F) = 4.4 states/eV per cell; calculated total energy = -4.53 eV/atom; total magnetization = 0.000 μB per atom
1.0
2.5868 1.4935 8.4624
-2.5868 1.4935 8.4624
0.0000 -2.9870 8.4624
Tb Er Sc In
1 1 2 4
Direct
0.0000 0.0000 0.0000
0.5000 0.5000 0.5000
0.2499 0.2499 0.2499
0.7501 0.7501 0.7501
0.1256 0.1256 0.1256
0.3756 0.3756 0.3756
0.6244 0.6244 0.6244
0.8744 0.8744 0.8744

***

# 6
Tb2ErScIn2 | the Alexandria database | PBE-GGA | relaxed; E_form = -0.353 eV per atom; space-group type = Pmc2_1, No. 26; DOS(E_F) = 14.2 states/eV per cell; calculated total energy = -4.63 eV/atom; total magnetization = 0.059 μB per atom
1.0
5.2751 0.0000 0.0000
0.0000 9.1908 0.0000
0.0000 0.0000 6.6664
Tb Er Sc In
4 2 2 4
Direct
0.0000 0.0044 0.0000
0.0000 0.9956 0.5000
0.5000 0.1649 0.2554
0.5000 0.8351 0.7554
0.5000 0.4961 0.9982
0.5000 0.5039 0.4982
0.0000 0.3306 0.7437
0.0000 0.6694 0.2437
0.0000 0.3459 0.2473
0.0000 0.6541 0.7473
0.5000 0.1770 0.7518
0.5000 0.8230 0.2518

***

# 7
Tb6Er2Sc3In | the Alexandria database | PBE-GGA | relaxed; E_form = -0.025 eV per atom; space-group type = C2/m, No. 12; DOS(E_F) = 13.5 states/eV per cell; calculated total energy = -4.91 eV/atom; total magnetization = 0.000 μB per atom
1.0
2.9885 -5.1748 0.0000
2.9885 5.1748 0.0000
-1.9896 0.0000 11.1653
Tb Er Sc In
6 2 3 1
Direct
0.0857 0.4159 0.7566
0.2443 0.2443 0.2430
0.4159 0.0857 0.7566
0.5841 0.9143 0.2434
0.7557 0.7557 0.7570
0.9143 0.5841 0.2434
0.3334 0.6666 0.5000
0.6666 0.3334 0.5000
0.1668 0.8332 0.0000
0.5000 0.5000 0.0000
0.8332 0.1668 0.0000
0.0000 0.0000 0.5000

***

# 8
TbErScIn | the Alexandria database | PBE-GGA | relaxed; E_form = -0.260 eV per atom; space-group type = Pmmm, No. 47; DOS(E_F) = 5.2 states/eV per cell; calculated total energy = -4.83 eV/atom; total magnetization = 0.177 μB per atom
1.0
4.7190 0.0000 0.0000
0.0000 4.7315 0.0000
0.0000 0.0000 4.7439
Tb Er Sc In
1 1 1 1
Direct
0.0000 0.0000 0.0000
0.0000 0.5000 0.5000
0.5000 0.5000 0.0000
0.5000 0.0000 0.5000